## LiMgNi2Cl (PBE-GGA)

Data for a geometry-optimized LiMgNi2Cl structure.

Computed properties:
Final energy   -0.111 hartree per atom
Offset from the most stable computed form   0 kJ/mol of formula units
Space-group type   P4/mmm (123)
Formation energy without anion corrections   0.35 eV/atom
Total moment   0.00 μB per atom
Theoretical density   3.47 g/cm³

Cell lengths 4.2311, 4.2311, 4.9226 Å; angles 90.00, 90.00, 90.00 degrees
Element x y z (fractional)
Li1 0.0000 0.0000 0.0000
Mg1 0.5000 0.5000 0.0000
Ni1 0.0000 0.5000 0.5000
Ni2 0.5000 0.0000 0.5000
Cl1 0.5000 0.5000 0.5000


## LiMgNpCl6 (PBE-GGA)

Data for a geometry-optimized LiMgNpCl6 structure.

Computed properties:
Final energy   -0.176 hartree per atom
Space-group type   P-31c (163)
Formation energy without anion corrections   -1.73 eV/atom
Total moment   0.44 μB per atom
Theoretical density   3.49 g/cm³

Cell lengths 6.6784, 6.6784, 11.8523 Å; angles 90.00, 90.00, 120.00 degrees
Element x y z (fractional)
Li1 0.0000 0.0000 0.0000
Li2 0.0000 0.0000 0.5000
Mg1 0.3333 0.6667 0.2500
Mg2 0.6667 0.3333 0.7500
Np1 0.3333 0.6667 0.7500
Np2 0.6667 0.3333 0.2500
Cl1 0.0244 0.3520 0.1279
Cl2 0.0244 0.6724 0.3721
Cl3 0.3276 0.3520 0.3721
Cl4 0.3276 0.9756 0.1279
Cl5 0.3520 0.0244 0.6279
Cl6 0.3520 0.3276 0.8721
Cl7 0.6480 0.6724 0.1279
Cl8 0.6480 0.9756 0.3721
Cl9 0.6724 0.0244 0.8721
Cl10 0.6724 0.6480 0.6279
Cl11 0.9756 0.3276 0.6279
Cl12 0.9756 0.6480 0.8721


## LiMgPCl2 (PBE-GGA)

Data for a geometry-optimized LiMgPCl2 structure.

Computed properties:
Final energy   -0.105 hartree per atom
Offset from the most stable computed form   142 kJ/mol of formula units
Space-group type   P4/mmm (123)
Formation energy without anion corrections   -0.33 eV/atom
Total moment   0.39 μB per atom
Theoretical density   2.06 g/cm³

Cell lengths 4.5423, 4.5423, 5.2024 Å; angles 90.00, 90.00, 90.00 degrees
Element x y z (fractional)
Li1 0.0000 0.0000 0.0000
Mg1 0.5000 0.5000 0.5000
P1 0.0000 0.0000 0.5000
Cl1 0.0000 0.5000 0.0000
Cl2 0.5000 0.0000 0.0000